{
  "formula": "LaMnAl2",
  "functional": "PBE-GGA",
  "state": "relaxed",
  "lattice_angstrom": [[4.846, 0.000, 0.000], [0.000, 4.860, 0.000], [0.000, 0.000, 6.864]],
  "species": ["La", "La", "Mn", "Mn", "Al", "Al", "Al", "Al"],
  "fractional_positions": [[0.000, 0.000, 0.000], [0.500, 0.500, 0.500], [0.000, 0.500, 0.751], [0.500, 0.000, 0.251], [0.000, 0.000, 0.500], [0.000, 0.500, 0.249], [0.500, 0.000, 0.749], [0.500, 0.500, 0.000]],
  "e_tot_ev_per_cell": -42.93,
  "space_group": "No. 44"
}

{
  "formula": "LaMnAl2",
  "functional": "PBE-GGA",
  "state": "relaxed",
  "lattice_angstrom": [[3.097, 0.000, 0.000], [-1.549, 2.682, 0.000], [0.000, 0.000, 29.646]],
  "species": ["La", "La", "La", "Mn", "Mn", "Mn", "Al", "Al", "Al", "Al", "Al", "Al"],
  "fractional_positions": [[0.000, 0.000, 0.000], [0.333, 0.667, 0.667], [0.667, 0.333, 0.333], [0.000, 0.000, 0.759], [0.333, 0.667, 0.425], [0.667, 0.333, 0.092], [0.000, 0.000, 0.237], [0.000, 0.000, 0.495], [0.333, 0.667, 0.162], [0.333, 0.667, 0.904], [0.667, 0.333, 0.571], [0.667, 0.333, 0.828]],
  "e_tot_ev_per_cell": -61.56,
  "space_group": "No. 160"
}

{
  "formula": "LaMnAl2",
  "functional": "PBE-GGA",
  "state": "relaxed",
  "lattice_angstrom": [[6.943, 0.000, 0.000], [0.000, 6.943, 0.000], [0.000, 0.000, 6.943]],
  "species": ["La", "La", "La", "La", "Mn", "Mn", "Mn", "Mn", "Al", "Al", "Al", "Al", "Al", "Al", "Al", "Al"],
  "fractional_positions": [[0.000, 0.000, 0.000], [0.000, 0.500, 0.500], [0.500, 0.000, 0.500], [0.500, 0.500, 0.000], [0.000, 0.000, 0.500], [0.000, 0.500, 0.000], [0.500, 0.000, 0.000], [0.500, 0.500, 0.500], [0.250, 0.250, 0.250], [0.250, 0.250, 0.750], [0.250, 0.750, 0.250], [0.250, 0.750, 0.750], [0.750, 0.250, 0.250], [0.750, 0.250, 0.750], [0.750, 0.750, 0.250], [0.750, 0.750, 0.750]],
  "e_tot_ev_per_cell": -86.93,
  "space_group": "No. 225"
}

{
  "formula": "LaMnAl2",
  "functional": "PBE-GGA",
  "state": "relaxed",
  "lattice_angstrom": [[4.402, 0.000, 0.000], [-2.201, 3.812, 0.000], [0.000, 0.000, 15.954]],
  "species": ["La", "La", "La", "Mn", "Mn", "Mn", "Al", "Al", "Al", "Al", "Al", "Al"],
  "fractional_positions": [[0.000, 0.000, 0.000], [0.333, 0.667, 0.667], [0.667, 0.333, 0.333], [0.000, 0.000, 0.195], [0.333, 0.667, 0.862], [0.667, 0.333, 0.529], [0.000, 0.000, 0.514], [0.000, 0.000, 0.795], [0.333, 0.667, 0.181], [0.333, 0.667, 0.462], [0.667, 0.333, 0.128], [0.667, 0.333, 0.848]],
  "e_tot_ev_per_cell": -66.49,
  "space_group": "No. 160"
}

Number 1: N(E_F) 1.076 states/eV per atom, V 20.20 Å³/atom, energy of formation 0.029 eV/atom. Number 2: N(E_F) 0.997 states/eV per atom, V 20.53 Å³/atom, energy of formation 0.265 eV/atom. Number 3: N(E_F) 0.424 states/eV per atom, V 20.92 Å³/atom, energy of formation -0.037 eV/atom. Number 4: N(E_F) 0.991 states/eV per atom, V 22.31 Å³/atom, energy of formation -0.145 eV/atom.